Entry from the Alexandria database: an optimized crystal structure of Mg2FeTcF (GGA+U).

Values from the calculation:
SG = P4/mmm (123)
Density = 3.32 g/cm3
Uncorrected energy = -17.06 eV for the cell shown
DOS at the Fermi energy = 0.913 states/eV per atom
Magnetization = 3.17 μB per formula unit

abc: 5.1261 5.1261 4.2204
angles: 90.00 90.00 90.00
Closest atoms and distances in Å follow each position.
Sites, in units of the cell vectors:
1 Mg 0.0000 0.5000 0.0000  2 Fe 2.56
2 Mg 0.5000 0.0000 0.0000  2 Fe 2.56
3 Fe 0.0000 0.0000 0.0000  2 Tc 2.11
4 Tc 0.0000 0.0000 0.5000  2 Fe 2.11
5 F 0.5000 0.5000 0.5000  8 Mg 3.32, 4 Tc 3.62